Record 1
Below is UCoSi after structural relaxation, with properties calculated at the PBEsol level.

Properties
As for the crystal system: orthorhombic. The space group is Pnma (62). The uncorrected formation energy is -535.5 meV/atom. As for the calculated density: 12.212 g cm⁻³.

a = 3.716 Å, b = 6.603 Å, c = 7.205 Å
α = 90.00°, β = 90.00°, γ = 90.00°
Element x y z (fractional)
Si 0.750 0.615 0.698
Si 0.750 0.885 0.198
Si 0.250 0.115 0.802
Si 0.250 0.385 0.302
Co 0.750 0.928 0.879
Co 0.250 0.428 0.621
Co 0.250 0.072 0.121
Co 0.750 0.572 0.379
U 0.750 0.357 0.006
U 0.250 0.857 0.494
U 0.750 0.143 0.506
U 0.250 0.643 0.994


Record 2
Below is K2SrMoPt after structural relaxation, with properties calculated at the PBEsol level.

Properties
As for the crystal system: tetragonal. The space group is P4/mmm (123). As for the formation energy from the elements: 1.6041 eV per atom. As for the calculated density: 3.202 g cm⁻³.

a = 5.195 Å, b = 6.753 Å, c = 6.753 Å
α = 90.00°, β = 90.00°, γ = 90.00°
Each line ends with the local moment (μB).
Element x y z (fractional)
K 0.000 0.000 0.500  0.00
K 0.000 0.500 0.000  0.00
Pt 0.500 0.000 0.000  0.02
Sr 0.000 0.000 0.000  -0.03
Mo 0.500 0.500 0.500  4.16


Record 3
Below is BeRhCl2 after structural relaxation, with properties calculated at the PBEsol level.

Properties
Its relative energy among the computed polymorphs is 63 meV/atom. As for the crystal system: tetragonal. The space group is P4mm (99). The uncorrected formation energy is -175.0 meV/atom. As for the calculated density: 4.737 g cm⁻³.

a = 3.048 Å, b = 3.048 Å, c = 6.899 Å
α = 90.00°, β = 90.00°, γ = 90.00°
Each line ends with the local moment (μB).
Element x y z (fractional)
Cl 0.000 0.000 0.097  0.04
Cl 0.500 0.500 0.673  0.12
Rh 0.000 0.000 0.434  0.67
Be 0.500 0.500 0.295  -0.02


Record 4
Below is KLi4Mo after structural relaxation, with properties calculated at the PBEsol level.

Properties
As for the crystal system: cubic. The space group is F-43m (216). As for the formation energy from the elements: 0.7900 eV per atom. As for the calculated density: 1.931 g cm⁻³.

a = 5.828 Å, b = 5.828 Å, c = 5.828 Å
α = 60.00°, β = 60.00°, γ = 60.00°
Each line ends with the local moment (μB).
Element x y z (fractional)
K 0.000 0.000 0.000  0.02
Li 0.378 0.378 0.378  -0.01
Li 0.378 0.865 0.378  -0.01
Li 0.865 0.378 0.378  -0.01
Li 0.378 0.378 0.865  -0.01
Mo 0.750 0.750 0.750  3.54


Record 5
Below is CuPBr2 after structural relaxation, with properties calculated at the PBEsol level.

Properties
As for the crystal system: orthorhombic. The space group is Pmm2 (25). The uncorrected formation energy is -40.6 meV/atom. As for the calculated density: 4.893 g cm⁻³.

a = 3.187 Å, b = 3.341 Å, c = 8.105 Å
α = 90.00°, β = 90.00°, γ = 90.00°
Element x y z (fractional)
Cu 0.000 0.000 0.337
P 0.500 0.500 0.422
Br 0.000 0.000 0.048
Br 0.500 0.500 0.692


Record 6
Below is Nd2Te5 after structural relaxation, with properties calculated at the PBEsol level.

Properties
As for the crystal system: orthorhombic. The space group is Cmcm (63). The uncorrected formation energy is -1133.5 meV/atom. As for the calculated density: 7.304 g cm⁻³.

a = 4.368 Å, b = 4.369 Å, c = 22.181 Å
α = 90.00°, β = 95.65°, γ = 90.00°
Element x y z (fractional)
Te 0.458 0.250 0.915
Te 0.380 0.750 0.759
Te 0.750 0.750 0.500
Te 0.250 0.250 0.500
Te 0.958 0.750 0.916
Te 0.620 0.250 0.241
Te 0.173 0.750 0.346
Te 0.042 0.250 0.084
Te 0.827 0.250 0.654
Te 0.542 0.750 0.085
Nd 0.693 0.250 0.386
Nd 0.307 0.750 0.614
Nd 0.098 0.750 0.197
Nd 0.902 0.250 0.803